VASP calculation (meta-GGA SCAN) on CeSiGeRh2 at its PBEsol-relaxed geometry.

## Properties
For the raw formation energy, the calculation gives -105 kJ/mol of atoms. For the total energy, the calculation gives -29.332 eV/atom. As for the symmetry: I4mm, No. 107.

Cell: 4.063 4.063 5.841 Å, 110.35 110.35 90.00°
Last column: magnetic moment on the atom in μB.
Fractional coordinates of all 5 atoms:
Ge 0.383 0.383 0.766  0.00
Rh 0.245 0.745 0.489  -0.02
Rh 0.745 0.245 0.489  -0.02
Si 0.626 0.626 0.251  -0.01
Ce 0.002 0.002 0.003  0.66